PuPa5Sb6: optimized geometry, PBE-GGA.

CIF file:
```
data_PuPa5Sb6
_chemical_formula_sum 'Pu2 Pa10 Sb12'
_space_group_name_H-M_alt 'C 1 2/m 1'
_space_group_IT_number 12
_space_group_name_Hall '-C 2y'
_cell_length_a 7.5628
_cell_length_b 13.1117
_cell_length_c 7.5765
_cell_angle_alpha 90.00
_cell_angle_beta 109.45
_cell_angle_gamma 90.00
loop_
_atom_site_label
_atom_site_fract_x
_atom_site_fract_y
_atom_site_fract_z
Pu1 0.0000 0.0000 0.0000
Pa1 0.0000 0.1654 0.5000
Pa2 0.0000 0.3329 0.0000
Pa3 0.0000 0.5000 0.5000
Sb1 0.2485 0.5000 0.2494
Sb2 0.2490 0.3328 0.7491
```

Results
Total energy, eV/atom: -7.691
Formation energy (no corrections), meV per atom: -479
Total moment, μB per formula unit: 3.9
Density of states at the Fermi level, states/eV per cell: 54.1

=====

Ba2In2Ge3: optimized geometry, PBE-GGA.

CIF file:
```
data_Ba2In2Ge3
_chemical_formula_sum 'Ba4 In4 Ge6'
_space_group_name_H-M_alt 'C 1 2/m 1'
_space_group_IT_number 12
_space_group_name_Hall '-C 2y'
_cell_length_a 12.2361
_cell_length_b 4.6837
_cell_length_c 7.5407
_cell_angle_alpha 90.00
_cell_angle_beta 110.92
_cell_angle_gamma 90.00
loop_
_atom_site_label
_atom_site_fract_x
_atom_site_fract_y
_atom_site_fract_z
Ba1 0.1358 0.0000 0.2875
In1 0.1646 0.0000 0.7809
Ge1 0.0000 0.5000 0.5000
Ge2 0.0841 0.5000 0.9272
```

Results
ΔH_f (0 K), meV/atom: -360
Total energy, eV/atom: -3.670
Total moment, μB per formula unit: 0.0
Density of states at the Fermi level, states/eV per cell: 6.4

=====

NaMnSn3: optimized geometry, PBE-GGA.

CIF file:
```
data_NaMnSn3
_chemical_formula_sum 'Na1 Mn1 Sn3'
_space_group_name_H-M_alt 'P m -3 m'
_space_group_IT_number 221
_space_group_name_Hall '-P 4 2 3'
_cell_length_a 5.1074
_cell_length_b 5.1074
_cell_length_c 5.1074
_cell_angle_alpha 90.00
_cell_angle_beta 90.00
_cell_angle_gamma 90.00
loop_
_atom_site_label
_atom_site_fract_x
_atom_site_fract_y
_atom_site_fract_z
Na1 0.0000 0.0000 0.0000
Mn1 0.5000 0.5000 0.5000
Sn1 0.0000 0.5000 0.5000
```

Results
ΔH_f (0 K), meV/atom: 69
Relative energy among the computed polymorphs, meV/atom: 0
Total energy, eV/atom: -4.430
Total moment, μB per formula unit: 2.2
Density of states at the Fermi level, states/eV per cell: 2.8

=====

LaTbMgSi: optimized geometry, PBE-GGA.

CIF file:
```
data_LaTbMgSi
_chemical_formula_sum 'La4 Tb4 Mg4 Si4'
_space_group_name_H-M_alt 'F -4 3 m'
_space_group_IT_number 216
_space_group_name_Hall 'F -4 2 3'
_cell_length_a 7.3927
_cell_length_b 7.3927
_cell_length_c 7.3927
_cell_angle_alpha 90.00
_cell_angle_beta 90.00
_cell_angle_gamma 90.00
loop_
_atom_site_label
_atom_site_fract_x
_atom_site_fract_y
_atom_site_fract_z
La1 0.0000 0.0000 0.0000
Tb1 0.0000 0.0000 0.5000
Mg1 0.2500 0.2500 0.7500
Si1 0.2500 0.2500 0.2500
```

Results
Total energy, eV/atom: -4.435
Formation energy (no corrections), meV per atom: -292
Total moment, μB per formula unit: 0.0
Density of states at the Fermi level, states/eV per cell: 12.0

=====

LaPm3Si2: optimized geometry, PBE-GGA.

CIF file:
```
data_LaPm3Si2
_chemical_formula_sum 'La4 Pm12 Si8'
_space_group_name_H-M_alt 'C 1 2/m 1'
_space_group_IT_number 12
_space_group_name_Hall '-C 2y'
_cell_length_a 17.5353
_cell_length_b 4.4751
_cell_length_c 9.3604
_cell_angle_alpha 90.00
_cell_angle_beta 113.91
_cell_angle_gamma 90.00
loop_
_atom_site_label
_atom_site_fract_x
_atom_site_fract_y
_atom_site_fract_z
La1 0.1166 0.0000 0.1354
Pm1 0.0480 0.0000 0.6963
Pm2 0.1508 0.5000 0.4740
Pm3 0.1912 0.5000 0.8843
Si1 0.0102 0.5000 0.8764
Si2 0.2335 0.0000 0.7081
```

Results
Total energy, eV/atom: -5.486
Formation energy (no corrections), meV per atom: -481
Total moment, μB per formula unit: 0.0
Density of states at the Fermi level, states/eV per cell: 22.7

=====

Zn2Tc: optimized geometry, PBE-GGA.

CIF file:
```
data_Zn2Tc
_chemical_formula_sum 'Zn8 Tc4'
_space_group_name_H-M_alt 'C 1 m 1'
_space_group_IT_number 8
_space_group_name_Hall 'C -2y'
_cell_length_a 10.0317
_cell_length_b 2.7650
_cell_length_c 6.4610
_cell_angle_alpha 90.00
_cell_angle_beta 104.85
_cell_angle_gamma 90.00
loop_
_atom_site_label
_atom_site_fract_x
_atom_site_fract_y
_atom_site_fract_z
Zn1 0.0000 0.0000 0.0000
Zn2 0.0453 0.0000 0.6101
Zn3 0.2228 0.5000 0.9503
Zn4 0.3912 0.0000 0.2768
Tc1 0.1688 0.5000 0.3395
Tc2 0.3230 0.0000 0.6628
```

Results
ΔH_f (0 K), meV/atom: 50
Relative energy among the computed polymorphs, meV/atom: 51
Total energy, eV/atom: -4.254
Total moment, μB per formula unit: 0.0
Density of states at the Fermi level, states/eV per cell: 7.9

=====

Th2AlTc: optimized geometry, PBE-GGA.

CIF file:
```
data_Th2AlTc
_chemical_formula_sum 'Th6 Al3 Tc3'
_space_group_name_H-M_alt 'R 3 m'
_space_group_IT_number 160
_space_group_name_Hall 'R 3 -2"'
_cell_length_a 4.6998
_cell_length_b 4.6998
_cell_length_c 14.8336
_cell_angle_alpha 90.00
_cell_angle_beta 90.00
_cell_angle_gamma 120.00
loop_
_atom_site_label
_atom_site_fract_x
_atom_site_fract_y
_atom_site_fract_z
Th1 0.0000 0.0000 0.0000
Th2 0.0000 0.0000 0.2130
Al1 0.0000 0.0000 0.4438
Tc1 0.0000 0.0000 0.7769
```

Results
ΔH_f (0 K), meV/atom: -152
Total energy, eV/atom: -7.389
Total moment, μB per formula unit: 0.0
Density of states at the Fermi level, states/eV per cell: 3.1

=====

Ba3Sn2Hg2: optimized geometry, PBE-GGA.

CIF file:
```
data_Ba3Sn2Hg2
_chemical_formula_sum 'Ba6 Sn4 Hg4'
_space_group_name_H-M_alt 'C 1 2/m 1'
_space_group_IT_number 12
_space_group_name_Hall '-C 2y'
_cell_length_a 13.1344
_cell_length_b 4.6596
_cell_length_c 9.8128
_cell_angle_alpha 90.00
_cell_angle_beta 115.09
_cell_angle_gamma 90.00
loop_
_atom_site_label
_atom_site_fract_x
_atom_site_fract_y
_atom_site_fract_z
Ba1 0.0000 0.0000 0.0000
Ba2 0.1848 0.0000 0.6464
Sn1 0.1810 0.5000 0.9265
Hg1 0.0432 0.5000 0.3479
```

Results
ΔH_f (0 K), meV/atom: -552
Total energy, eV/atom: -2.606
Total moment, μB per formula unit: 0.0
Density of states at the Fermi level, states/eV per cell: 9.6

=====

Tb3Nd2Er3: optimized geometry, PBE-GGA.

CIF file:
```
data_Tb3Nd2Er3
_chemical_formula_sum 'Tb6 Nd4 Er6'
_space_group_name_H-M_alt 'I m m m'
_space_group_IT_number 71
_space_group_name_Hall '-I 2 2'
_cell_length_a 5.0558
_cell_length_b 5.0569
_cell_length_c 20.1353
_cell_angle_alpha 90.00
_cell_angle_beta 90.00
_cell_angle_gamma 90.00
loop_
_atom_site_label
_atom_site_fract_x
_atom_site_fract_y
_atom_site_fract_z
Tb1 0.0000 0.0000 0.0000
Tb2 0.0000 0.5000 0.1228
Nd1 0.0000 0.0000 0.2501
Er1 0.0000 0.0000 0.5000
Er2 0.0000 0.5000 0.3769
```

Results
ΔH_f (0 K), meV/atom: 22
Relative energy among the computed polymorphs, meV/atom: 0
Total energy, eV/atom: -4.617
Total moment, μB per formula unit: 0.0
Density of states at the Fermi level, states/eV per cell: 23.4

=====

La3Nd4Co2: optimized geometry, PBE-GGA.

CIF file:
```
data_La3Nd4Co2
_chemical_formula_sum 'La6 Nd8 Co4'
_space_group_name_H-M_alt 'C 1 2/m 1'
_space_group_IT_number 12
_space_group_name_Hall '-C 2y'
_cell_length_a 17.1118
_cell_length_b 3.7822
_cell_length_c 9.3576
_cell_angle_alpha 90.00
_cell_angle_beta 114.89
_cell_angle_gamma 90.00
loop_
_atom_site_label
_atom_site_fract_x
_atom_site_fract_y
_atom_site_fract_z
La1 0.0000 0.0000 0.0000
La2 0.0706 0.0000 0.6946
Nd1 0.1419 0.5000 0.3922
Nd2 0.2264 0.0000 0.1425
Co1 0.1159 0.5000 0.9276
```

Results
ΔH_f (0 K), meV/atom: -35
Total energy, eV/atom: -5.376
Total moment, μB per formula unit: 0.0
Density of states at the Fermi level, states/eV per cell: 23.3

=====

NbSb: optimized geometry, PBE-GGA.

CIF file:
```
data_NbSb
_chemical_formula_sum 'Nb2 Sb2'
_space_group_name_H-M_alt 'P 63/m m c'
_space_group_IT_number 194
_space_group_name_Hall '-P 6c 2c'
_cell_length_a 4.7862
_cell_length_b 4.7862
_cell_length_c 5.5482
_cell_angle_alpha 90.00
_cell_angle_beta 90.00
_cell_angle_gamma 120.00
loop_
_atom_site_label
_atom_site_fract_x
_atom_site_fract_y
_atom_site_fract_z
Nb1 0.3333 0.6667 0.2500
Sb1 0.3333 0.6667 0.7500
```

Results
Total energy, eV/atom: -6.684
Formation energy (no corrections), meV per atom: 412
Total moment, μB per formula unit: 0.0
Density of states at the Fermi level, states/eV per cell: 3.8

=====

CeAgAu: optimized geometry, PBE-GGA.

CIF file:
```
data_CeAgAu
_chemical_formula_sum 'Ce1 Ag1 Au1'
_space_group_name_H-M_alt 'P -6 m 2'
_space_group_IT_number 187
_space_group_name_Hall 'P -6 2'
_cell_length_a 4.8741
_cell_length_b 4.8741
_cell_length_c 3.2733
_cell_angle_alpha 90.00
_cell_angle_beta 90.00
_cell_angle_gamma 120.00
loop_
_atom_site_label
_atom_site_fract_x
_atom_site_fract_y
_atom_site_fract_z
Ce1 0.0000 0.0000 0.0000
Ag1 0.3333 0.6667 0.5000
Au1 0.6667 0.3333 0.5000
```

Results
ΔH_f (0 K), meV/atom: -437
Relative energy among the computed polymorphs, meV/atom: 16
Total energy, eV/atom: -4.458
Total moment, μB per formula unit: 1.0
Density of states at the Fermi level, states/eV per cell: 6.4

=====

- Which value of total energy does entry 8 give?
  -2.606 eV/atom

=====

- total moment of number 6 (Zn2Tc)?
  0.0 μB per formula unit

=====

- Number 2 is which compound?
  Ba2In2Ge3